Version w
This record from OQMD describes crystalline ZrCu2TeS2 at its relaxed geometry. The functional is GGA-PBE.

```
ZrCu2TeS2
1.0
-1.348 -1.542 9.758
-0.065 -5.051 8.596
6.848 2.533 -0.087
Cu S Te Zr
4 4 2 2
Direct
0.546 0.546 0.167
0.208 0.208 0.425
0.792 0.792 0.575
0.454 0.454 0.833
0.424 0.424 0.140
0.088 0.088 0.324
0.912 0.912 0.676
0.576 0.576 0.860
0.751 0.751 0.217
0.249 0.249 0.783
0.137 0.137 0.041
0.863 0.863 0.959
```

## Properties
- ρ: 4971 kg/m³

=====

Version x
This record from OQMD describes crystalline ZrCu2TeS2 at its relaxed geometry. The functional is GGA-PBE.

```
ZrCu2TeS2
1.0
-2.519 -8.287 4.388
0.133 -6.906 6.823
-4.721 3.734 3.024
Cu S Te Zr
4 4 2 2
Direct
0.787 0.787 0.063
0.458 0.458 0.339
0.542 0.542 0.661
0.213 0.213 0.937
0.255 0.255 0.280
0.587 0.587 0.358
0.413 0.413 0.642
0.745 0.745 0.720
0.920 0.920 0.106
0.080 0.080 0.894
0.848 0.848 0.459
0.152 0.152 0.541
```

## Properties
- ρ: 5532 kg/m³

=====

What are the relative energies? In meV per atom: version w 0; version x 43.